Tl2TeO3: relaxed, GGA-PBE.

a = 6.3865 Å, b = 6.3865 Å, c = 6.5555 Å
α = 90.00°, β = 90.00°, γ = 65.94°
Closest atoms and distances in Å follow each position.
Positions (direct):
Tl (0.0896, 0.2494, 0.2500)  3 O 2.69-2.73
Tl (0.2494, 0.0896, 0.7500)  3 O 2.69-2.73
Tl (0.7506, 0.9104, 0.2500)  3 O 2.69-2.73
Tl (0.9104, 0.7506, 0.7500)  3 O 2.69-2.73
Te (0.4847, 0.5153, 0.2500)  1 O 1.88
Te (0.5153, 0.4847, 0.7500)  1 O 1.88
O (0.2142, 0.7858, 0.2500)  1 Te 1.88
O (0.3615, 0.3615, 0.0000)  2 Te 2.21
O (0.3615, 0.3615, 0.5000)  2 Te 2.21
O (0.6385, 0.6385, 0.0000)  2 Te 2.21
O (0.6385, 0.6385, 0.5000)  2 Te 2.21
O (0.7858, 0.2142, 0.7500)  1 Te 1.88

Values from the calculation:
- Excess energy over the best structure of this formula in the dataset: 0.175 eV/atom
- Theoretical density: 7.95 g/cm3
- SG: Cmcm (63)
- Total energy: -4.54 eV/atom


Tl2TeO3: relaxed, GGA-PBE.

a = 5.9073 Å, b = 7.6665 Å, c = 7.6838 Å
α = 65.53°, β = 69.37°, γ = 69.33°
Closest atoms and distances in Å follow each position.
Positions (direct):
Tl (0.1702, 0.3289, 0.3498)  3 O 2.55-2.60
Tl (0.1705, 0.8508, 0.8281)  3 O 2.55-2.60
Tl (0.8295, 0.1492, 0.1719)  3 O 2.55-2.60
Tl (0.8298, 0.6711, 0.6502)  3 O 2.55-2.60
Te (0.4585, 0.2912, 0.7927)  3 O 1.90-1.91
Te (0.5415, 0.7088, 0.2073)  3 O 1.90-1.91
O (0.2695, 0.6659, 0.1648)  1 Te 1.91
O (0.2724, 0.2034, 0.0571)  1 Te 1.90
O (0.2716, 0.5563, 0.7054)  1 Te 1.90
O (0.7284, 0.4437, 0.2946)  1 Te 1.90
O (0.7276, 0.7966, 0.9429)  1 Te 1.90
O (0.7305, 0.3341, 0.8352)  1 Te 1.91

Values from the calculation:
- Excess energy over the best structure of this formula in the dataset: 0.005 eV/atom
- DOS(E_F): 0.0000 states/eV per atom
- Theoretical density: 6.75 g/cm3
- SG: P-1 (2)
- Total energy: -4.71 eV/atom


TlTe2O: relaxed, GGA-PBE.

a = 7.1202 Å, b = 7.1202 Å, c = 7.1202 Å
α = 90.00°, β = 90.00°, γ = 90.00°
Closest atoms and distances in Å follow each position.
Positions (direct):
Tl (0.0000, 0.0000, 0.0000)  8 Te 3.08
Tl (0.0000, 0.5000, 0.5000)  8 Te 3.08
Tl (0.5000, 0.0000, 0.5000)  8 Te 3.08
Tl (0.5000, 0.5000, 0.0000)  8 Te 3.08
Te (0.2500, 0.2500, 0.2500)  4 Tl 3.08, 4 O 3.08
Te (0.2500, 0.2500, 0.7500)  4 O 3.08, 4 Tl 3.08
Te (0.2500, 0.7500, 0.2500)  4 O 3.08, 4 Tl 3.08
Te (0.2500, 0.7500, 0.7500)  4 Tl 3.08, 4 O 3.08
Te (0.7500, 0.2500, 0.2500)  4 O 3.08, 4 Tl 3.08
Te (0.7500, 0.2500, 0.7500)  4 Tl 3.08, 4 O 3.08
Te (0.7500, 0.7500, 0.2500)  4 Tl 3.08, 4 O 3.08
Te (0.7500, 0.7500, 0.7500)  4 O 3.08, 4 Tl 3.08
O (0.0000, 0.0000, 0.5000)  8 Te 3.08
O (0.0000, 0.5000, 0.0000)  8 Te 3.08
O (0.5000, 0.0000, 0.0000)  8 Te 3.08
O (0.5000, 0.5000, 0.5000)  8 Te 3.08

Values from the calculation:
- Excess energy over the best structure of this formula in the dataset: 0.707 eV/atom
- DOS(E_F): 0.7793 states/eV per atom
- Theoretical density: 8.75 g/cm3
- SG: Fm-3m (225)
- Total energy: -2.90 eV/atom


TlTe2O: relaxed, GGA-PBE.

a = 6.1978 Å, b = 6.1978 Å, c = 13.2964 Å
α = 90.00°, β = 90.00°, γ = 90.00°
Closest atoms and distances in Å follow each position.
Positions (direct):
Tl (0.0000, 0.2500, 0.3750)  8 Te 3.84
Tl (0.0000, 0.7500, 0.6250)  8 Te 3.84
Tl (0.5000, 0.2500, 0.1250)  8 Te 3.84
Tl (0.5000, 0.7500, 0.8750)  8 Te 3.84
Te (0.0000, 0.0000, 0.0000)  2 O 2.27
Te (0.0000, 0.5000, 0.0000)  2 O 2.27
Te (0.2500, 0.2500, 0.7500)  2 O 2.27
Te (0.2500, 0.7500, 0.2500)  2 O 2.27
Te (0.5000, 0.0000, 0.5000)  2 O 2.27
Te (0.5000, 0.5000, 0.5000)  2 O 2.27
Te (0.7500, 0.2500, 0.7500)  2 O 2.27
Te (0.7500, 0.7500, 0.2500)  2 O 2.27
O (0.0000, 0.2500, 0.8750)  4 Te 2.27
O (0.0000, 0.7500, 0.1250)  4 Te 2.27
O (0.5000, 0.2500, 0.6250)  4 Te 2.27
O (0.5000, 0.7500, 0.3750)  4 Te 2.27

Values from the calculation:
- Excess energy over the best structure of this formula in the dataset: 0.000 eV/atom
- DOS(E_F): 0.1988 states/eV per atom
- Theoretical density: 6.18 g/cm3
- SG: I4_1/amd (141)
- Total energy: -3.61 eV/atom


Tl2TeO2: relaxed, GGA-PBE.

a = 5.0100 Å, b = 5.0100 Å, c = 9.3041 Å
α = 90.00°, β = 90.00°, γ = 90.00°
Closest atoms and distances in Å follow each position.
Positions (direct):
Tl (0.0000, 0.5000, 0.2500)  4 O 2.51
Tl (0.0000, 0.5000, 0.7500)  4 O 2.51
Tl (0.5000, 0.0000, 0.2500)  4 O 2.51
Tl (0.5000, 0.0000, 0.7500)  4 O 2.51
Te (0.0000, 0.0000, 0.0000)  2 O 2.35
Te (0.5000, 0.5000, 0.5000)  2 O 2.35
O (0.0000, 0.0000, 0.2527)  1 Te 2.35, 4 Tl 2.51
O (0.0000, 0.0000, 0.7473)  1 Te 2.35, 4 Tl 2.51
O (0.5000, 0.5000, 0.2473)  1 Te 2.35, 4 Tl 2.51
O (0.5000, 0.5000, 0.7527)  1 Te 2.35, 4 Tl 2.51

Values from the calculation:
- Excess energy over the best structure of this formula in the dataset: 0.149 eV/atom
- DOS(E_F): 0.6489 states/eV per atom
- Theoretical density: 8.08 g/cm3
- SG: I4/mmm (139)
- Total energy: -3.80 eV/atom


Tl12Te3O5: relaxed, GGA-PBE.

a = 14.5021 Å, b = 14.5021 Å, c = 14.5021 Å
α = 109.47°, β = 109.47°, γ = 109.47°
Closest atoms and distances in Å follow each position.
Positions (direct):
Tl (0.0162, 0.1983, 0.1118)  2 O 2.44-2.67
Tl (0.0162, 0.3178, 0.9043)  2 O 2.44-2.67
Tl (0.0865, 0.6983, 0.6822)  2 O 2.44-2.67
Tl (0.0865, 0.8882, 0.4043)  2 O 2.44-2.67
Tl (0.0957, 0.6118, 0.4135)  2 O 2.44-2.67
Tl (0.0957, 0.9838, 0.6822)  2 O 2.44-2.67
Tl (0.1118, 0.0162, 0.1983)  2 O 2.44-2.67
Tl (0.1118, 0.5957, 0.9135)  2 O 2.44-2.67
Tl (0.1822, 0.1983, 0.5865)  2 O 2.44-2.67
Tl (0.1822, 0.4838, 0.5957)  2 O 2.44-2.67
Tl (0.1983, 0.1118, 0.0162)  2 O 2.44-2.67
Tl (0.1983, 0.5865, 0.1822)  2 O 2.44-2.67
Tl (0.3017, 0.3178, 0.9135)  2 O 2.44-2.67
Tl (0.3017, 0.4838, 0.3882)  2 O 2.44-2.67
Tl (0.3178, 0.9043, 0.0162)  2 O 2.44-2.67
Tl (0.3178, 0.9135, 0.3017)  2 O 2.44-2.67
Tl (0.3882, 0.3017, 0.4838)  2 O 2.44-2.67
Tl (0.3882, 0.5865, 0.9043)  2 O 2.44-2.67
Tl (0.4043, 0.0865, 0.8882)  2 O 2.44-2.67
Tl (0.4043, 0.8178, 0.5162)  2 O 2.44-2.67
Tl (0.4135, 0.0957, 0.6118)  2 O 2.44-2.67
Tl (0.4135, 0.8178, 0.8017)  2 O 2.44-2.67
Tl (0.4838, 0.3882, 0.3017)  2 O 2.44-2.67
Tl (0.4838, 0.5957, 0.1822)  2 O 2.44-2.67
Tl (0.5162, 0.4043, 0.8178)  2 O 2.44-2.67
Tl (0.5162, 0.6118, 0.6983)  2 O 2.44-2.67
Tl (0.5865, 0.1822, 0.1983)  2 O 2.44-2.67
Tl (0.5865, 0.9043, 0.3882)  2 O 2.44-2.67
Tl (0.5957, 0.1822, 0.4838)  2 O 2.44-2.67
Tl (0.5957, 0.9135, 0.1118)  2 O 2.44-2.67
Tl (0.6118, 0.4135, 0.0957)  2 O 2.44-2.67
Tl (0.6118, 0.6983, 0.5162)  2 O 2.44-2.67
Tl (0.6822, 0.0865, 0.6983)  2 O 2.44-2.67
Tl (0.6822, 0.0957, 0.9838)  2 O 2.44-2.67
Tl (0.6983, 0.5162, 0.6118)  2 O 2.44-2.67
Tl (0.6983, 0.6822, 0.0865)  2 O 2.44-2.67
Tl (0.8017, 0.4135, 0.8178)  2 O 2.44-2.67
Tl (0.8017, 0.8882, 0.9838)  2 O 2.44-2.67
Tl (0.8178, 0.5162, 0.4043)  2 O 2.44-2.67
Tl (0.8178, 0.8017, 0.4135)  2 O 2.44-2.67
Tl (0.8882, 0.4043, 0.0865)  2 O 2.44-2.67
Tl (0.8882, 0.9838, 0.8017)  2 O 2.44-2.67
Tl (0.9043, 0.0162, 0.3178)  2 O 2.44-2.67
Tl (0.9043, 0.3882, 0.5865)  2 O 2.44-2.67
Tl (0.9135, 0.1118, 0.5957)  2 O 2.44-2.67
Tl (0.9135, 0.3017, 0.3178)  2 O 2.44-2.67
Tl (0.9838, 0.6822, 0.0957)  2 O 2.44-2.67
Tl (0.9838, 0.8017, 0.8882)  2 O 2.44-2.67
Te (0.1250, 0.2500, 0.3750)  8 Tl 3.30-3.40
Te (0.1250, 0.3750, 0.7500)  8 Tl 3.30-3.40
Te (0.2500, 0.3750, 0.1250)  8 Tl 3.30-3.40
Te (0.2500, 0.8750, 0.6250)  8 Tl 3.30-3.40
Te (0.3750, 0.1250, 0.2500)  8 Tl 3.30-3.40
Te (0.3750, 0.7500, 0.1250)  8 Tl 3.30-3.40
Te (0.6250, 0.2500, 0.8750)  8 Tl 3.30-3.40
Te (0.6250, 0.8750, 0.7500)  8 Tl 3.30-3.40
Te (0.7500, 0.1250, 0.3750)  8 Tl 3.30-3.40
Te (0.7500, 0.6250, 0.8750)  8 Tl 3.30-3.40
Te (0.8750, 0.6250, 0.2500)  8 Tl 3.30-3.40
Te (0.8750, 0.7500, 0.6250)  8 Tl 3.30-3.40
O (0.0000, 0.0000, 0.0000)  6 Tl 2.67
O (0.0000, 0.0000, 0.5000)  6 Tl 2.67
O (0.0000, 0.5000, 0.0000)  6 Tl 2.67
O (0.0000, 0.5000, 0.5000)  6 Tl 2.67
O (0.1250, 0.7500, 0.8750)  4 Tl 2.44
O (0.1250, 0.8750, 0.2500)  4 Tl 2.44
O (0.2500, 0.1250, 0.8750)  4 Tl 2.44
O (0.2500, 0.6250, 0.3750)  4 Tl 2.44
O (0.3750, 0.2500, 0.6250)  4 Tl 2.44
O (0.3750, 0.6250, 0.7500)  4 Tl 2.44
O (0.5000, 0.0000, 0.0000)  6 Tl 2.67
O (0.5000, 0.0000, 0.5000)  6 Tl 2.67
O (0.5000, 0.5000, 0.0000)  6 Tl 2.67
O (0.5000, 0.5000, 0.5000)  6 Tl 2.67
O (0.6250, 0.3750, 0.2500)  4 Tl 2.44
O (0.6250, 0.7500, 0.3750)  4 Tl 2.44
O (0.7500, 0.3750, 0.6250)  4 Tl 2.44
O (0.7500, 0.8750, 0.1250)  4 Tl 2.44
O (0.8750, 0.1250, 0.7500)  4 Tl 2.44
O (0.8750, 0.2500, 0.1250)  4 Tl 2.44

Values from the calculation:
- DOS(E_F): 0.5807 states/eV per atom
- Theoretical density: 8.25 g/cm3
- SG: Ia-3d (230)
- Total energy: -3.48 eV/atom


TmTl3Te2O9: relaxed, GGA-PBE.

a = 5.9008 Å, b = 5.9008 Å, c = 7.2469 Å
α = 90.00°, β = 90.00°, γ = 120.00°
Closest atoms and distances in Å follow each position.
Positions (direct):
Tm (0.0000, 0.0000, 0.0000)  6 O 2.24
Tl (0.0000, 0.0000, 0.5000)  12 O 2.92-2.95
Tl (0.3333, 0.6667, 0.1680)  12 O 2.95-3.01
Tl (0.6667, 0.3333, 0.8320)  12 O 2.95-3.01
Te (0.3333, 0.6667, 0.6701)  6 O 1.93-2.10
Te (0.6667, 0.3333, 0.3299)  6 O 1.93-2.10
O (0.0000, 0.5000, 0.5000)  2 Te 2.10
O (0.1763, 0.3525, 0.8172)  1 Te 1.93
O (0.1763, 0.8237, 0.8172)  1 Te 1.93
O (0.3525, 0.1763, 0.1828)  1 Te 1.93
O (0.5000, 0.0000, 0.5000)  2 Te 2.10
O (0.5000, 0.5000, 0.5000)  2 Te 2.10
O (0.6475, 0.8237, 0.8172)  1 Te 1.93
O (0.8237, 0.1763, 0.1828)  1 Te 1.93
O (0.8237, 0.6475, 0.1828)  1 Te 1.93

Values from the calculation:
- DOS(E_F): 0.4035 states/eV per atom
- Theoretical density: 8.98 g/cm3
- SG: P-3m1 (164)
- Total energy: -5.43 eV/atom


TmTlTeO4: relaxed, GGA-PBE.

a = 5.8703 Å, b = 6.0133 Å, c = 7.6576 Å
α = 90.00°, β = 104.01°, γ = 90.00°
Closest atoms and distances in Å follow each position.
Positions (direct):
Tm (0.1622, 0.2500, 0.4581)  6 O 2.21-2.36
Tm (0.8378, 0.7500, 0.5419)  6 O 2.21-2.36
Tl (0.0774, 0.7500, 0.1277)  3 O 2.66-2.81
Tl (0.9226, 0.2500, 0.8723)  3 O 2.66-2.81
Te (0.4029, 0.7500, 0.7459)  4 O 1.91-2.07
Te (0.5971, 0.2500, 0.2541)  4 O 1.91-2.07
O (0.1546, 0.5116, 0.6641)  1 Te 2.03, 1 Tm 2.24
O (0.1546, 0.9884, 0.6641)  1 Te 2.03, 1 Tm 2.24
O (0.2342, 0.2500, 0.1881)  1 Te 2.07, 1 Tm 2.21
O (0.4468, 0.7500, 0.5062)  1 Te 1.91
O (0.5532, 0.2500, 0.4938)  1 Te 1.91
O (0.7658, 0.7500, 0.8119)  1 Te 2.07, 1 Tm 2.21
O (0.8454, 0.0116, 0.3359)  1 Te 2.03, 1 Tm 2.24
O (0.8454, 0.4884, 0.3359)  1 Te 2.03, 1 Tm 2.24

Values from the calculation:
- DOS(E_F): 0.0000 states/eV per atom
- Theoretical density: 7.15 g/cm3
- SG: P2_1/m (11)
- Total energy: -6.09 eV/atom


Energy relative to the elements, uncorrected across the listed records, respectively: -4.5; -5.5; 2.0; -0.8; -1.2; -6.9; -19.0; -12.8 eV/f.u..